Material: AcMo2F11
Method: DFT, PBE+U
State: optimized geometry

The space group is Ibam (No. 72) and the conventional cell measures 7.7765, 10.1147 and 11.6334 Å, with angles of 90.00, 90.00 and 90.00 degrees. The asymmetric unit holds Ac at (0.0000, 0.0000, 0.2500), Mo at (0.1356, 0.3208, 0.0000), F at (0.0000, 0.5000, 0.0000), F at (0.0941, 0.1942, 0.1325), F at (0.1353, 0.2824, 0.5000) and F at (0.2439, 0.0727, 0.3765).

As for the density of states at the Fermi level: 0.000 states/eV per atom. For the uncorrected energy, the calculation gives -322.1 eV/cell. The magnetization is 16.0 Bohr magnetons per cell.